The following is a PBE calculation of a geometry-optimized AcTbSm5Er2 structure, from the Alexandria database.

a b c (Å): 9.2083 9.2083 12.1097
angles (deg): 90.00 90.00 143.37
Closest atoms and distances in Å follow each position.
Atoms (fractional coordinates):
Ac  0.1138  0.8862  0.5000  2 Er 3.52, 5 Sm 3.53-3.89, 2 Tb 3.76
Ac  0.8862  0.1138  0.0000  2 Er 3.52, 5 Sm 3.53-3.89, 2 Tb 3.76
Tb  0.2487  0.7513  0.0000  9 Sm 3.54-3.82, 3 Er 3.75-3.76, 2 Ac 3.76
Tb  0.7513  0.2487  0.5000  9 Sm 3.54-3.82, 3 Er 3.75-3.76, 2 Ac 3.76
Sm  0.0791  0.9209  0.8396  4 Sm 3.51-3.72, 4 Er 3.53-3.80, 1 Tb 3.54, 1 Ac 3.89
Sm  0.0811  0.9189  0.1649  4 Sm 3.51-3.81, 1 Tb 3.55, 4 Er 3.56-3.70
Sm  0.2683  0.7317  0.2957  3 Sm 3.16-3.50, 1 Er 3.24
Sm  0.2692  0.7308  0.7048  2 Sm 3.16, 2 Er 3.24-3.46
Sm  0.4401  0.5599  0.1479  3 Er 3.27-3.57, 1 Sm 3.50, 2 Ac 3.53
Sm  0.5599  0.4401  0.6479  3 Er 3.27-3.57, 1 Sm 3.50, 2 Ac 3.53
Sm  0.7308  0.2692  0.2048  2 Sm 3.16, 2 Er 3.24-3.46
Sm  0.7317  0.2683  0.7957  3 Sm 3.16-3.50, 1 Er 3.24
Sm  0.9189  0.0811  0.6649  4 Sm 3.51-3.81, 1 Tb 3.55, 4 Er 3.56-3.70
Sm  0.9209  0.0791  0.3396  4 Sm 3.51-3.72, 4 Er 3.53-3.80, 1 Tb 3.54, 1 Ac 3.89
Er  0.3882  0.6118  0.4994  7 Sm 3.24-3.56, 1 Er 3.51
Er  0.4384  0.5616  0.8530  3 Sm 3.27-3.57, 1 Er 3.51, 2 Ac 3.52
Er  0.5616  0.4384  0.3530  3 Sm 3.27-3.57, 1 Er 3.51, 2 Ac 3.52
Er  0.6118  0.3882  0.9994  7 Sm 3.24-3.56, 1 Er 3.51

Properties
- formation energy (kJ/mol of formula units) = 76
- VASP energy (eV/atom) = -4.52
- DOS at the Fermi energy (states/eV/f.u.) = 13.75
- calculated volume (Å³/cell) = 612.6